# PBE SrNi2Rh, relaxed
data_SrNi2Rh
_chemical_formula_sum 'Sr3 Ni6 Rh3'
_space_group_name_H-M_alt 'R -3 m'
_space_group_IT_number 166
_space_group_name_Hall '-R 3 2"'
_cell_length_a 4.2112
_cell_length_b 4.2112
_cell_length_c 15.4606
_cell_angle_alpha 90.00
_cell_angle_beta 90.00
_cell_angle_gamma 120.00
loop_
_atom_site_label
_atom_site_fract_x
_atom_site_fract_y
_atom_site_fract_z
Sr1 0.0000 0.0000 0.0000
Ni1 0.0000 0.0000 0.1862
Rh1 0.0000 0.0000 0.5000
# - V (Å³ per atom) = 19.8
# - energy above the most stable polymorph in this dataset (eV per atom) = 0.000
# - E_tot (eV per atom) = -5.26